No. 1
Computed, not measured: an optimized crystal structure of CaCeP2Pt2 at the GGA-PBE level of DFT.

Unit cell a=4.1599 b=4.1599 c=8.0283 alpha=90.00 beta=90.00 gamma=120.00
Space group P-3m1 (No. 164)
Unique sites:
Ca 0.0000 0.0000 0.0000
Ce 0.0000 0.0000 0.5000
P 0.3333 0.6667 0.7393
Pt 0.3333 0.6667 0.2512

Values from the calculation:
Size of the total moment   0.5 μB per cell
Crystal system   trigonal



No. 2
Computed, not measured: an optimized crystal structure of AlRu3 at the GGA-PBE level of DFT.

Unit cell a=2.7721 b=2.7721 c=8.4075 alpha=90.00 beta=90.00 gamma=120.00
Space group P-6m2 (No. 187)
Unique sites:
Al 0.0000 0.0000 0.0000
Ru 0.0000 0.0000 0.5000
Ru 0.6667 0.3333 0.2501

Values from the calculation:
Size of the total moment   0.0 μB per cell
Crystal system   hexagonal



No. 3
Computed, not measured: an optimized crystal structure of FeAg2Sb at the GGA-PBE level of DFT.

Unit cell a=3.048 b=5.108 c=4.742 alpha=90.00 beta=91.46 gamma=90.00
Space group P2/m (No. 10)
Unique sites:
Fe 0.000 0.000 0.000
Ag 0.251 0.500 0.758
Sb 0.500 0.000 0.500

Values from the calculation:
Energy relative to the elements, uncorrected   332.6 meV/atom
Size of the total moment   2.6 μB per cell
Crystal system   monoclinic



No. 4
Computed, not measured: an optimized crystal structure of Sm3SbN at the GGA-PBE level of DFT.

Unit cell a=4.832 b=4.882 c=11.138 alpha=90.00 beta=102.46 gamma=90.00
Space group P2_1/m (No. 11)
Unique sites:
Sm 0.055 0.250 0.111
Sm 0.181 0.750 0.366
Sm 0.434 0.250 0.867
Sb 0.331 0.750 0.661
N 0.065 0.750 0.130

Values from the calculation:
Energy relative to the elements, uncorrected   -1012.3 meV/atom
Size of the total moment   0.0 μB per cell
Crystal system   monoclinic



| no. | V (Å³/atom) | total energy (eV per atom) | theoretical density (g cm⁻³) |
| --- | --- | --- | --- |
| 1 | 20.1 | -6.382 | 8.727 |
| 2 | 14.0 | -8.078 | 9.799 |
| 3 | 18.4 | -4.239 | 8.851 |
| 4 | 25.7 | -6.333 | 7.596 |